(1)
DFT (PBE) results for an optimized crystal structure of CsBr2Cl2.

Cell lengths 9.2003, 9.2003, 4.1646 Å; angles 90.00, 90.00, 90.00 degrees
Closest atoms and distances in Å follow each position.
Sites, in units of the cell vectors:
Cs  0.0000  0.0000  0.0000  4 Br 3.86, 8 Cl 3.86, 2 Cs 4.16
Cs  0.5000  0.5000  0.0000  4 Br 3.86, 8 Cl 3.86, 2 Cs 4.16
Br  0.4101  0.9101  0.0000  1 Br 2.34
Br  0.9101  0.5899  0.0000  1 Br 2.34
Br  0.5899  0.0899  0.0000  1 Br 2.34
Br  0.0899  0.4101  0.0000  1 Br 2.34
Cl  0.2410  0.7410  0.5000  2 Br 3.03
Cl  0.7410  0.7590  0.5000  2 Br 3.03
Cl  0.7590  0.2590  0.5000  2 Br 3.03
Cl  0.2590  0.2410  0.5000  2 Br 3.03

Symmetry   P4/mbm, No. 127
Distance to the lowest polymorph of the same formula   0.0 meV per atom
Calculated volume   353 Å³/cell
Crystal system   tetragonal
Formation energy from raw total energies   -13.86 kcal/mol of atoms

=====

(2)
DFT (PBE) results for an optimized crystal structure of Zr4Pt2O.

Cell lengths 6.2394, 6.4080, 7.1102 Å; angles 90.00, 105.88, 90.00 degrees
Closest atoms and distances in Å follow each position.
Sites, in units of the cell vectors:
Zr  0.5245  0.5060  0.2601  1 O 2.14
Zr  0.1103  0.7500  0.9025  1 O 2.12
Zr  0.8897  0.2500  0.0975  1 O 2.12
Zr  0.5245  0.9940  0.2601  1 O 2.14
Zr  0.9381  0.2500  0.6114  1 O 2.14
Zr  0.4755  0.0060  0.7399  1 O 2.14
Zr  0.4755  0.4940  0.7399  1 O 2.14
Zr  0.0619  0.7500  0.3886  1 O 2.14
Pt  0.7313  0.7500  0.0305  6 Zr 2.76-2.82
Pt  0.2687  0.2500  0.9695  6 Zr 2.76-2.82
Pt  0.2574  0.2500  0.4122  6 Zr 2.73-2.83
Pt  0.7426  0.7500  0.5878  6 Zr 2.73-2.83
O  0.2814  0.7500  0.2049  4 Zr 2.12-2.14
O  0.7186  0.2500  0.7951  4 Zr 2.12-2.14

Symmetry   P2_1/m, No. 11
Distance to the lowest polymorph of the same formula   33.5 meV per atom
Calculated volume   273 Å³/cell
Crystal system   monoclinic
Formation energy from raw total energies   -29.35 kcal/mol of atoms

=====

(3)
DFT (PBE) results for an optimized crystal structure of V3Ni2Pt2.

Cell lengths 2.6461, 2.6541, 13.4657 Å; angles 90.00, 84.36, 90.00 degrees
Closest atoms and distances in Å follow each position.
Sites, in units of the cell vectors:
V  0.8669  0.0000  0.2662  4 Ni 2.58, 4 V 2.65, 4 Pt 2.67
V  0.0000  0.0000  0.0000  8 Ni 2.60, 4 V 2.65
V  0.1331  0.0000  0.7338  4 Ni 2.58, 4 V 2.65, 4 Pt 2.67
Ni  0.5671  0.5000  0.8658  8 V 2.58-2.60, 4 Ni 2.65
Ni  0.4329  0.5000  0.1342  8 V 2.58-2.60, 4 Ni 2.65
Pt  0.7040  0.5000  0.5920  6 Pt 2.65-2.80, 4 V 2.67
Pt  0.2960  0.5000  0.4080  6 Pt 2.65-2.80, 4 V 2.67

Symmetry   Cmmm, No. 65
Distance to the lowest polymorph of the same formula   59.6 meV per atom
DFT formation energy   -0.27 eV/atom
Calculated volume   94 Å³/cell
Crystal system   orthorhombic

=====

(4)
DFT (PBE) results for an optimized crystal structure of HgRu2Cl.

Cell lengths 6.8596, 6.8596, 5.6993 Å; angles 53.00, 53.00, 90.00 degrees
Closest atoms and distances in Å follow each position.
Sites, in units of the cell vectors:
Ru  0.5548  0.1250  0.2500  2 Cl 2.24
Ru  0.1952  0.6250  0.2500  2 Cl 2.24
Ru  0.3750  0.4452  0.7500  2 Cl 2.24
Ru  0.8750  0.8048  0.7500  2 Cl 2.24
Hg  0.0000  0.0000  0.0000  8 Ru 2.89-3.08, 2 Cl 2.99
Hg  0.7500  0.2500  0.5000  8 Ru 2.89-3.08, 2 Cl 2.99
Cl  0.5000  0.5000  0.0000  4 Ru 2.24
Cl  0.2500  0.7500  0.5000  4 Ru 2.24

Symmetry   I-42d, No. 122
Distance to the lowest polymorph of the same formula   748.2 meV per atom
Calculated volume   141 Å³/cell
Crystal system   tetragonal
Formation energy from raw total energies   22.01 kcal/mol of atoms

=====

(5)
DFT (PBE) results for an optimized crystal structure of GdLuZn.

Cell lengths 3.5354, 3.5354, 6.6119 Å; angles 105.51, 105.51, 90.00 degrees
Closest atoms and distances in Å follow each position.
Sites, in units of the cell vectors:
Gd  0.0174  0.0174  0.0347  4 Zn 3.15
Zn  0.6734  0.6734  0.3468  4 Lu 3.00, 4 Gd 3.15
Lu  0.3092  0.3092  0.6185  4 Zn 3.00

Symmetry   I4mm, No. 107
Distance to the lowest polymorph of the same formula   0.0 meV per atom
DFT formation energy   -0.22 eV/atom
Calculated volume   77 Å³/cell
Crystal system   tetragonal

=====

(6)
DFT (PBE) results for an optimized crystal structure of Pm3Dy2TmAs6.

Cell lengths 4.1725, 8.3358, 9.3213 Å; angles 102.86, 102.93, 90.00 degrees
Closest atoms and distances in Å follow each position.
Sites, in units of the cell vectors:
Pm  0.5000  0.5000  0.0000  6 As 2.98-2.99
Pm  0.8331  0.1665  0.6663  6 As 2.98-2.99
Pm  0.1669  0.8335  0.3337  6 As 2.98-2.99
Dy  0.8337  0.6671  0.6673  6 As 2.92
Dy  0.1663  0.3329  0.3327  6 As 2.92
Tm  0.5000  0.0000  0.0000  6 As 2.90-2.91
As  0.3359  0.9132  0.6719  1 Tm 2.90, 2 Dy 2.92, 3 Pm 2.98-2.99
As  0.6683  0.5792  0.3367  3 Dy 2.92, 3 Pm 2.98
As  0.6641  0.0868  0.3281  1 Tm 2.90, 2 Dy 2.92, 3 Pm 2.98-2.99
As  0.0014  0.2433  0.0028  2 Tm 2.91, 1 Dy 2.92, 3 Pm 2.98-2.99
As  0.9986  0.7567  0.9972  2 Tm 2.91, 1 Dy 2.92, 3 Pm 2.98-2.99
As  0.3317  0.4208  0.6633  3 Dy 2.92, 3 Pm 2.98

Symmetry   C2/m, No. 12
DFT formation energy   -1.52 eV/atom
Calculated volume   308 Å³/cell
Crystal system   monoclinic